Computed, not measured: SmPuC after structural relaxation at the PBE level of DFT.

Geometry as extended XYZ:
```
3
Lattice="-0.546 -0.750 -3.068 3.737 -1.004 -0.419 -1.061 -4.488 1.286" Properties=species:S:1:pos:R:3 pbc="T T T"
Sm 0.000 0.000 0.000
Pu 1.338 -2.746 0.434
C -0.803 -2.619 -0.891
```

For the distance to the lowest polymorph of the same formula, the calculation gives 0.378 eV/atom. The total magnetization comes out at 5.06 μB per cell. The value obtained for the formation energy is 0.364 eV per atom.